Density functional theory data (PBE-GGA) for a relaxed K2Sn4I9 crystal.

```
data_K2Sn4I9
_chemical_formula_sum 'K4 Sn8 I18'
_space_group_name_H-M_alt 'P -1'
_space_group_IT_number 2
_cell_length_a 8.222
_cell_length_b 8.226
_cell_length_c 23.948
_cell_angle_alpha 88.18
_cell_angle_beta 86.50
_cell_angle_gamma 60.54
loop_
_space_group_symop_operation_xyz
'x,y,z'
'-x,-y,-z'
loop_
_atom_site_label
_atom_site_type_symbol
_atom_site_fract_x
_atom_site_fract_y
_atom_site_fract_z
_atom_site_occupancy
K1 K 0.002 0.004 0.155 1
K2 K 0.022 0.008 0.348 1
Sn1 Sn 0.327 0.346 0.004 1
Sn2 Sn 0.333 0.330 0.501 1
Sn3 Sn 0.352 0.263 0.825 1
Sn4 Sn 0.360 0.360 0.318 1
I1 I 0.028 0.369 0.421 1
I2 I 0.032 0.598 0.916 1
I3 I 0.044 0.662 0.258 1
I4 I 0.311 0.639 0.746 1
I5 I 0.332 0.057 0.244 1
I6 I 0.361 0.995 0.921 1
I7 I 0.365 0.988 0.578 1
I8 I 0.366 0.629 0.076 1
I9 I 0.380 0.622 0.419 1
```

Output
Crystal system ... triclinic
Total energy ... -2.804 eV per atom
Calculated volume ... 1407.73 Å³/cell
Formation energy (no corrections) ... -9.90 eV/f.u.
Density of states at the Fermi level ... 2.54 states/eV/cell
Total magnetic moment ... 2.1 Bohr magnetons per cell